1.
VASP calculation (PBE) on crystalline TbPmAsO2 at its relaxed geometry. Values from VASP.

Summary:
- M_tot: 0.00 μB per formula unit
- Electronic total energy: -7.423 eV/atom
- Density of states at the Fermi level: 2.314 states/eV per cell

Geometry as Quantum ESPRESSO input:
```
&SYSTEM
  ibrav = 0, nat = 5, ntyp = 4
/
ATOMIC_SPECIES
O 16.00 O.upf
Tb 158.93 Tb.upf
Pm 145.00 Pm.upf
As 74.92 As.upf
ATOMIC_POSITIONS crystal
O 0.253 0.753 0.505
O 0.753 0.253 0.505
Tb 0.839 0.839 0.678
Pm 0.158 0.158 0.315
As 0.498 0.498 0.996
CELL_PARAMETERS angstrom
-2.507 -1.213 2.667
2.912 -0.637 2.447
-0.760 7.036 -0.303
```

---

2.
VASP calculation (PBE) on crystalline Be2NiBr at its relaxed geometry. Values from VASP.

Summary:
- M_tot: 0.00 μB per formula unit
- Electronic total energy: -3.563 eV/atom
- Density of states at the Fermi level: 2.021 states/eV per cell

Geometry as Quantum ESPRESSO input:
```
&SYSTEM
  ibrav = 0, nat = 4, ntyp = 3
/
ATOMIC_SPECIES
Ni 58.69 Ni.upf
Be 9.01 Be.upf
Br 79.90 Br.upf
ATOMIC_POSITIONS crystal
Ni 0.702 0.702 0.702
Be 0.980 0.980 0.980
Be 0.341 0.341 0.341
Br 0.477 0.477 0.477
CELL_PARAMETERS angstrom
-5.656 1.065 -1.534
-5.681 -1.132 1.386
-5.119 2.454 1.803
```

---

3.
VASP calculation (PBE) on crystalline Cd2TeCl at its relaxed geometry. Values from VASP.

Summary:
- M_tot: 0.00 μB per formula unit
- Electronic total energy: -2.171 eV/atom
- Density of states at the Fermi level: 1.306 states/eV per cell

Geometry as Quantum ESPRESSO input:
```
&SYSTEM
  ibrav = 0, nat = 4, ntyp = 3
/
ATOMIC_SPECIES
Cd 112.41 Cd.upf
Te 127.60 Te.upf
Cl 35.45 Cl.upf
ATOMIC_POSITIONS crystal
Cd 0.500 0.500 0.375
Cd 0.000 0.000 0.875
Te 0.500 0.500 0.875
Cl 0.000 0.000 0.375
CELL_PARAMETERS angstrom
-3.550 -1.383 1.985
0.220 -3.695 -2.180
3.334 -2.353 4.324
```

---

4.
VASP calculation (PBE) on crystalline ZrMn3Os at its relaxed geometry. Values from VASP.

Summary:
- M_tot: 0.00 μB per formula unit
- Electronic total energy: -7.159 eV/atom
- Density of states at the Fermi level: 10.982 states/eV per cell

Geometry as Quantum ESPRESSO input:
```
&SYSTEM
  ibrav = 0, nat = 5, ntyp = 3
/
ATOMIC_SPECIES
Mn 54.94 Mn.upf
Zr 91.22 Zr.upf
Os 190.23 Os.upf
ATOMIC_POSITIONS crystal
Mn 0.000 0.000 0.500
Mn 0.000 0.500 0.000
Mn 0.500 0.000 0.000
Zr 0.000 0.000 0.000
Os 0.500 0.500 0.500
CELL_PARAMETERS angstrom
-0.528 -4.185 -1.078
0.481 -1.137 4.175
-4.294 0.387 0.600
```

---

5.
VASP calculation (PBE) on crystalline Ac2HgO at its relaxed geometry. Values from VASP.

Summary:
- M_tot: 0.00 μB per formula unit
- Electronic total energy: -4.952 eV/atom
- Density of states at the Fermi level: 8.892 states/eV per cell

Geometry as Quantum ESPRESSO input:
```
&SYSTEM
  ibrav = 0, nat = 12, ntyp = 3
/
ATOMIC_SPECIES
Hg 200.59 Hg.upf
Ac 227.00 Ac.upf
O 16.00 O.upf
ATOMIC_POSITIONS crystal
Hg 0.000 0.665 0.667
Hg 0.335 0.335 0.000
Hg 0.665 0.000 0.333
Ac 0.288 0.875 0.057
Ac 0.712 0.587 0.276
Ac 0.875 0.288 0.943
Ac 0.413 0.125 0.609
Ac 0.587 0.712 0.724
Ac 0.125 0.413 0.391
O 0.440 0.440 0.500
O 0.560 0.000 0.833
O 0.000 0.560 0.167
CELL_PARAMETERS angstrom
7.556 0.000 0.000
-3.778 6.543 0.000
0.000 0.000 7.859
```

---

6.
VASP calculation (PBE) on crystalline NaEuTiO4 at its relaxed geometry. Values from VASP.

Summary:
- M_tot: 6.00 μB per formula unit
- Electronic total energy: -8.302 eV/atom
- Density of states at the Fermi level: 26.713 states/eV per cell

Geometry as Quantum ESPRESSO input:
```
&SYSTEM
  ibrav = 0, nat = 28, ntyp = 4
/
ATOMIC_SPECIES
O 16.00 O.upf
Eu 151.96 Eu.upf
Na 22.99 Na.upf
Ti 47.87 Ti.upf
ATOMIC_POSITIONS crystal
O 0.250 0.949 0.933
O 0.250 0.033 0.594
O 0.500 0.250 0.776
O 0.000 0.250 0.776
O 0.750 0.551 0.933
O 0.250 0.533 0.406
O 0.500 0.750 0.756
O 0.000 0.750 0.224
O 0.500 0.250 0.244
O 0.750 0.051 0.067
O 0.500 0.750 0.224
O 0.000 0.750 0.756
O 0.250 0.449 0.067
O 0.750 0.967 0.406
O 0.750 0.467 0.594
O 0.000 0.250 0.244
Eu 0.750 0.981 0.892
Eu 0.250 0.019 0.108
Eu 0.250 0.519 0.892
Eu 0.750 0.481 0.108
Na 0.750 0.500 0.415
Na 0.750 0.000 0.585
Na 0.250 0.000 0.415
Na 0.250 0.500 0.585
Ti 0.750 0.993 0.269
Ti 0.250 0.507 0.269
Ti 0.750 0.493 0.731
Ti 0.250 0.007 0.731
CELL_PARAMETERS angstrom
-2.135 -4.401 2.081
4.546 -0.897 2.765
-4.619 6.888 9.827
```

---

7.
VASP calculation (PBE) on crystalline TaSiSb2 at its relaxed geometry. Values from VASP.

Summary:
- M_tot: 0.00 μB per formula unit
- Electronic total energy: -6.139 eV/atom
- Density of states at the Fermi level: 2.106 states/eV per cell

Geometry as Quantum ESPRESSO input:
```
&SYSTEM
  ibrav = 0, nat = 4, ntyp = 3
/
ATOMIC_SPECIES
Sb 121.76 Sb.upf
Si 28.09 Si.upf
Ta 180.95 Ta.upf
ATOMIC_POSITIONS crystal
Sb 0.000 0.000 0.936
Sb 0.500 0.500 0.307
Si 0.000 0.000 0.539
Ta 0.500 0.500 0.717
CELL_PARAMETERS angstrom
-1.200 -1.146 2.560
1.713 -2.320 -0.997
7.826 3.523 5.245
```

---

8.
VASP calculation (PBE) on crystalline Ho3Tm6In at its relaxed geometry. Values from VASP.

Summary:
- M_tot: 0.00 μB per formula unit
- Electronic total energy: -4.329 eV/atom
- Density of states at the Fermi level: 24.431 states/eV per cell

Geometry as Quantum ESPRESSO input:
```
&SYSTEM
  ibrav = 0, nat = 20, ntyp = 3
/
ATOMIC_SPECIES
Tm 168.93 Tm.upf
In 114.82 In.upf
Ho 164.93 Ho.upf
ATOMIC_POSITIONS crystal
Tm 0.548 0.996 0.494
Tm 0.049 0.377 0.369
Tm 0.049 0.631 0.623
Tm 0.814 0.324 0.676
Tm 0.048 0.004 0.506
Tm 0.549 0.127 0.873
Tm 0.048 0.494 0.996
Tm 0.549 0.369 0.377
Tm 0.548 0.506 0.004
Tm 0.549 0.623 0.631
Tm 0.049 0.873 0.127
Tm 0.314 0.676 0.324
In 0.047 0.120 0.880
In 0.547 0.880 0.120
Ho 0.284 0.323 0.677
Ho 0.798 0.832 0.833
Ho 0.298 0.833 0.832
Ho 0.784 0.677 0.323
Ho 0.798 0.167 0.168
Ho 0.298 0.168 0.167
CELL_PARAMETERS angstrom
7.333 0.000 0.000
0.000 8.981 1.072
0.000 -0.959 8.994
```

---

Question: Number 8 is which compound?
Answer: Ho3Tm6In